w | Entry from the Alexandria database: Co2IrOs after structural relaxation (PBE).

Properties
Calculated volume, Å³ per atom: 12.6
D(E_F), states/eV per atom: 1.2766
Crystal system: orthorhombic
Total magnetic moment, μB/cell: 4.75

CIF file:
```
data_Co2IrOs
_chemical_formula_sum 'Co4 Ir2 Os2'
_space_group_name_H-M_alt 'A m m 2'
_space_group_IT_number 38
_cell_length_a 3.9632
_cell_length_b 2.6423
_cell_length_c 9.6130
_cell_angle_alpha 90.00
_cell_angle_beta 90.00
_cell_angle_gamma 90.00
loop_
_space_group_symop_operation_xyz
'x,y,z'
'-x,-y,z'
'-x,y,z'
'x,-y,z'
'x,y+1/2,z+1/2'
'-x,-y+1/2,z+1/2'
'-x,y+1/2,z+1/2'
'x,-y+1/2,z+1/2'
loop_
_atom_site_label
_atom_site_type_symbol
_atom_site_fract_x
_atom_site_fract_y
_atom_site_fract_z
Co1 Co 0.0000 0.0000 0.0000
Co2 Co 0.5000 0.0000 0.1283
Ir1 Ir 0.0000 0.0000 0.7402
Os1 Os 0.5000 0.0000 0.3914
```

=====

x | Entry from the Alexandria database: Co2IrOs after structural relaxation (PBE).

Properties
Calculated volume, Å³ per atom: 17.6
D(E_F), states/eV per atom: 1.0806
Crystal system: tetragonal
Total magnetic moment, μB/cell: 0.00

CIF file:
```
data_Co2IrOs
_chemical_formula_sum 'Co8 Ir4 Os4'
_space_group_name_H-M_alt 'I -4 2 d'
_space_group_IT_number 122
_space_group_name_Hall 'I -4 2bw'
_cell_length_a 5.2285
_cell_length_b 5.2285
_cell_length_c 10.3258
_cell_angle_alpha 90.00
_cell_angle_beta 90.00
_cell_angle_gamma 90.00
loop_
_atom_site_label
_atom_site_type_symbol
_atom_site_fract_x
_atom_site_fract_y
_atom_site_fract_z
Co1 Co 0.2478 0.2500 0.1250
Ir1 Ir 0.0000 0.0000 0.5000
Os1 Os 0.0000 0.0000 0.0000
```

=====

Which one is most stable, and which one is least stable? w is the most stable of them, while x is the least stable.

=====

w | Entry from the Alexandria database: Co2IrOs after structural relaxation (PBE).

Properties
Calculated volume, Å³ per atom: 13.3
D(E_F), states/eV per atom: 1.6047
Crystal system: orthorhombic
Total magnetic moment, μB/cell: 8.19

CIF file:
```
data_Co2IrOs
_chemical_formula_sum 'Co4 Ir2 Os2'
_space_group_name_H-M_alt 'C m m m'
_space_group_IT_number 65
_space_group_name_Hall '-C 2 2'
_cell_length_a 2.7172
_cell_length_b 4.5104
_cell_length_c 8.6808
_cell_angle_alpha 90.00
_cell_angle_beta 90.00
_cell_angle_gamma 90.00
loop_
_atom_site_label
_atom_site_type_symbol
_atom_site_fract_x
_atom_site_fract_y
_atom_site_fract_z
Co1 Co 0.0000 0.0000 0.2488
Ir1 Ir 0.0000 0.5000 0.5000
Os1 Os 0.0000 0.5000 0.0000
```

=====

x | Entry from the Alexandria database: Co2IrOs after structural relaxation (PBE).

Properties
Calculated volume, Å³ per atom: 12.6
D(E_F), states/eV per atom: 1.3144
Crystal system: orthorhombic
Total magnetic moment, μB/cell: 3.28

CIF file:
```
data_Co2IrOs
_chemical_formula_sum 'Co4 Ir2 Os2'
_space_group_name_H-M_alt 'C m m m'
_space_group_IT_number 65
_space_group_name_Hall '-C 2 2'
_cell_length_a 5.2719
_cell_length_b 7.2458
_cell_length_c 2.6310
_cell_angle_alpha 90.00
_cell_angle_beta 90.00
_cell_angle_gamma 90.00
loop_
_atom_site_label
_atom_site_type_symbol
_atom_site_fract_x
_atom_site_fract_y
_atom_site_fract_z
Co1 Co 0.2500 0.2500 0.0000
Ir1 Ir 0.0000 0.0000 0.5000
Os1 Os 0.0000 0.5000 0.5000
```

=====

y | Entry from the Alexandria database: Co2IrOs after structural relaxation (PBE).

Properties
Calculated volume, Å³ per atom: 12.6
D(E_F), states/eV per atom: 1.1577
Crystal system: orthorhombic
Total magnetic moment, μB/cell: 1.68

CIF file:
```
data_Co2IrOs
_chemical_formula_sum 'Co2 Ir1 Os1'
_space_group_name_H-M_alt 'P m m m'
_space_group_IT_number 47
_cell_length_a 2.6388
_cell_length_b 3.6223
_cell_length_c 5.2593
_cell_angle_alpha 90.00
_cell_angle_beta 90.00
_cell_angle_gamma 90.00
loop_
_space_group_symop_operation_xyz
'x,y,z'
'-x,-y,-z'
'-x,-y,z'
'x,y,-z'
'x,-y,-z'
'-x,y,z'
'-x,y,-z'
'x,-y,z'
loop_
_atom_site_label
_atom_site_type_symbol
_atom_site_fract_x
_atom_site_fract_y
_atom_site_fract_z
Co1 Co 0.0000 0.0000 0.2442
Ir1 Ir 0.5000 0.5000 0.5000
Os1 Os 0.5000 0.5000 0.0000
```

=====

z | Entry from the Alexandria database: Co2IrOs after structural relaxation (PBE).

Properties
Calculated volume, Å³ per atom: 18.9
D(E_F), states/eV per atom: 1.3145
Crystal system: orthorhombic
Total magnetic moment, μB/cell: 13.96

CIF file:
```
data_Co2IrOs
_chemical_formula_sum 'Co8 Ir4 Os4'
_space_group_name_H-M_alt 'I m m a'
_space_group_IT_number 74
_space_group_name_Hall '-I 2b 2'
_cell_length_a 2.5943
_cell_length_b 9.0277
_cell_length_c 12.9242
_cell_angle_alpha 90.00
_cell_angle_beta 90.00
_cell_angle_gamma 90.00
loop_
_atom_site_label
_atom_site_type_symbol
_atom_site_fract_x
_atom_site_fract_y
_atom_site_fract_z
Co1 Co 0.0000 0.1177 0.1744
Ir1 Ir 0.0000 0.2500 0.4742
Os1 Os 0.0000 0.0000 0.0000
```

=====

Which one is most stable, and which one is least stable? y is the most stable of them, while z is the least stable.

=====

w | Entry from the Alexandria database: Co2IrOs after structural relaxation (PBE).

Properties
Calculated volume, Å³ per atom: 12.9
D(E_F), states/eV per atom: 1.4179
Crystal system: trigonal
Total magnetic moment, μB/cell: 9.67

CIF file:
```
data_Co2IrOs
_chemical_formula_sum 'Co6 Ir3 Os3'
_space_group_name_H-M_alt 'R -3 m'
_space_group_IT_number 166
_space_group_name_Hall '-R 3 2"'
_cell_length_a 2.6619
_cell_length_b 2.6619
_cell_length_c 25.2646
_cell_angle_alpha 90.00
_cell_angle_beta 90.00
_cell_angle_gamma 120.00
loop_
_atom_site_label
_atom_site_type_symbol
_atom_site_fract_x
_atom_site_fract_y
_atom_site_fract_z
Co1 Co 0.0000 0.0000 0.2494
Ir1 Ir 0.0000 0.0000 0.0000
Os1 Os 0.0000 0.0000 0.5000
```

=====

x | Entry from the Alexandria database: Co2IrOs after structural relaxation (PBE).

Properties
Calculated volume, Å³ per atom: 13.2
D(E_F), states/eV per atom: 1.6467
Crystal system: cubic
Total magnetic moment, μB/cell: 14.79

CIF file:
```
data_Co2IrOs
_chemical_formula_sum 'Co8 Ir4 Os4'
_space_group_name_H-M_alt 'F -4 3 m'
_space_group_IT_number 216
_space_group_name_Hall 'F -4 2 3'
_cell_length_a 5.9512
_cell_length_b 5.9512
_cell_length_c 5.9512
_cell_angle_alpha 90.00
_cell_angle_beta 90.00
_cell_angle_gamma 90.00
loop_
_atom_site_label
_atom_site_type_symbol
_atom_site_fract_x
_atom_site_fract_y
_atom_site_fract_z
Co1 Co 0.0000 0.0000 0.0000
Co2 Co 0.2500 0.2500 0.2500
Ir1 Ir 0.0000 0.0000 0.5000
Os1 Os 0.2500 0.2500 0.7500
```

=====

y | Entry from the Alexandria database: Co2IrOs after structural relaxation (PBE).

Properties
Calculated volume, Å³ per atom: 12.6
D(E_F), states/eV per atom: 1.0261
Crystal system: tetragonal
Total magnetic moment, μB/cell: 3.88

CIF file:
```
data_Co2IrOs
_chemical_formula_sum 'Co4 Ir2 Os2'
_space_group_name_H-M_alt 'I 4/m m m'
_space_group_IT_number 139
_space_group_name_Hall '-I 4 2'
_cell_length_a 3.7302
_cell_length_b 3.7302
_cell_length_c 7.2279
_cell_angle_alpha 90.00
_cell_angle_beta 90.00
_cell_angle_gamma 90.00
loop_
_atom_site_label
_atom_site_type_symbol
_atom_site_fract_x
_atom_site_fract_y
_atom_site_fract_z
Co1 Co 0.0000 0.5000 0.2500
Ir1 Ir 0.0000 0.0000 0.0000
Os1 Os 0.0000 0.0000 0.5000
```

=====

z | Entry from the Alexandria database: Co2IrOs after structural relaxation (PBE).

Properties
Calculated volume, Å³ per atom: 12.8
D(E_F), states/eV per atom: 1.2832
Crystal system: tetragonal
Total magnetic moment, μB/cell: 3.00

CIF file:
```
data_Co2IrOs
_chemical_formula_sum 'Co2 Ir1 Os1'
_space_group_name_H-M_alt 'P 4 m m'
_space_group_IT_number 99
_cell_length_a 2.6825
_cell_length_b 2.6825
_cell_length_c 7.1057
_cell_angle_alpha 90.00
_cell_angle_beta 90.00
_cell_angle_gamma 90.00
loop_
_space_group_symop_operation_xyz
'x,y,z'
'-y,x,z'
'-x,-y,z'
'y,-x,z'
'-x,y,z'
'y,x,z'
'x,-y,z'
'-y,-x,z'
loop_
_atom_site_label
_atom_site_type_symbol
_atom_site_fract_x
_atom_site_fract_y
_atom_site_fract_z
Co1 Co 0.0000 0.0000 0.0000
Co2 Co 0.5000 0.5000 0.2240
Ir1 Ir 0.0000 0.0000 0.4823
Os1 Os 0.5000 0.5000 0.7507
```

=====

Which one is most stable, and which one is least stable? z is the most stable of them, while x is the least stable.